Record 1
Material: MgRh5
Method: DFT, PBE
State: relaxed

Summary:
E_form (eV/atom): -0.081

Cell lengths 4.396, 7.235, 7.235 Å; angles 22.26, 90.00, 90.00 degrees
Element x y z (fractional)
Mg (0.000, 0.000, 0.000)
Rh (0.000, 0.332, 0.332)
Rh (0.000, 0.667, 0.667)
Rh (0.500, 0.218, 0.218)
Rh (0.500, 0.553, 0.553)
Rh (0.500, 0.887, 0.887)

Record 2
Material: NaHf2FeC
Method: DFT, PBE
State: relaxed

Summary:
E_form (eV/atom): 2.256

Cell lengths 4.865, 4.865, 3.867 Å; angles 90.00, 90.00, 90.00 degrees
Element x y z (fractional)
Na (0.000, 0.000, 0.000)
Hf (0.000, 0.500, 0.000)
Hf (0.500, 0.000, 0.000)
Fe (0.500, 0.500, 0.500)
C (0.000, 0.000, 0.500)

Record 3
Material: CuIrSeBr2
Method: DFT, PBE
State: relaxed

Summary:
E above lowest polymorph (meV/atom): 0
Raw formation energy (eV per formula unit): 2.9

Cell lengths 5.292, 5.292, 4.660 Å; angles 90.00, 90.00, 90.00 degrees
Element x y z (fractional)
Cu (0.000, 0.000, 0.000)
Ir (0.500, 0.500, 0.500)
Se (0.500, 0.500, 0.000)
Br (0.000, 0.500, 0.500)
Br (0.500, 0.000, 0.500)

| no. | total energy (eV/atom) | calculated volume (Å³ per cell) |
| --- | --- | --- |
| 1 | -6.473 | 87 |
| 2 | -5.526 | 92 |
| 3 | -3.380 | 131 |